Entry 1:
Computed, not measured: an optimized crystal structure of RbCaBr at the PBE level of DFT.

```
data_RbCaBr
_chemical_formula_sum 'Rb4 Ca4 Br4'
_cell_length_a 16.693
_cell_length_b 4.375
_cell_length_c 8.263
_cell_angle_alpha 90.00
_cell_angle_beta 113.36
_cell_angle_gamma 90.00
_symmetry_space_group_name_H-M 'C 1 m 1'
_symmetry_Int_Tables_number 8
loop_
_symmetry_equiv_pos_as_xyz
'x,y,z'
'x,-y,z'
'x+1/2,y+1/2,z'
'x+1/2,-y+1/2,z'
loop_
_atom_site_label
_atom_site_fract_x
_atom_site_fract_y
_atom_site_fract_z
_atom_site_occupancy
Rb1 0.000 0.000 0.000 1
Rb2 0.205 0.000 0.588 1
Ca1 0.250 0.500 0.132 1
Ca2 0.449 0.000 0.409 1
Br1 0.098 0.500 0.775 1
Br2 0.365 0.500 0.555 1
```

Density of states at the Fermi level   0.53 states/eV per atom
Energy   -2.442 eV/atom
Uncorrected formation energy   -0.894 eV/atom
Spin magnetization   0.02 μB/cell


Entry 2:
Computed, not measured: an optimized crystal structure of Tb7Y4Ho at the PBE level of DFT.

```
data_Tb7Y4Ho
_chemical_formula_sum 'Tb14 Y8 Ho2'
_cell_length_a 11.999
_cell_length_b 5.910
_cell_length_c 12.657
_cell_angle_alpha 90.00
_cell_angle_beta 117.80
_cell_angle_gamma 90.00
_symmetry_space_group_name_H-M 'C 1 2/m 1'
_symmetry_Int_Tables_number 12
loop_
_symmetry_equiv_pos_as_xyz
'x,y,z'
'-x,-y,-z'
'-x,y,-z'
'x,-y,z'
'x+1/2,y+1/2,z'
'-x+1/2,-y+1/2,-z'
'-x+1/2,y+1/2,-z'
'x+1/2,-y+1/2,z'
loop_
_atom_site_label
_atom_site_fract_x
_atom_site_fract_y
_atom_site_fract_z
_atom_site_occupancy
Tb1 0.000 0.000 0.000 1
Tb2 0.132 0.500 0.500 1
Tb3 0.213 0.000 0.924 1
Tb4 0.245 0.000 0.681 1
Y1 0.062 0.000 0.320 1
Y2 0.138 0.500 0.776 1
Ho1 0.000 0.500 0.000 1
```

Energy relative to the elements   0.279 eV/atom
Density of states at the Fermi level   1.67 states/eV per atom
Energy   -4.958 eV/atom
Spin magnetization   0.00 μB/cell


Entry 3:
Computed, not measured: an optimized crystal structure of Cs3Ir2Cl9 at the PBE level of DFT.

```
data_Cs3Ir2Cl9
_chemical_formula_sum 'Cs6 Ir4 Cl18'
_cell_length_a 7.4096
_cell_length_b 7.4096
_cell_length_c 18.9385
_cell_angle_alpha 90.00
_cell_angle_beta 90.00
_cell_angle_gamma 120.00
_symmetry_space_group_name_H-M 'P 63/m m c'
_symmetry_Int_Tables_number 194
_symmetry_space_group_name_Hall '-P 6c 2c'
loop_
_atom_site_label
_atom_site_fract_x
_atom_site_fract_y
_atom_site_fract_z
_atom_site_occupancy
Cs1 0.0000 0.0000 0.2500 1
Cs2 0.3333 0.6667 0.0656 1
Ir1 0.3333 0.6667 0.6670 1
Cl1 0.0467 0.5233 0.7500 1
Cl2 0.1830 0.3660 0.5968 1
```

Energy   -3.813 eV/atom
Uncorrected formation energy   -1.177 eV/atom
Spin magnetization   0.00 μB/cell


Entry 4:
Computed, not measured: an optimized crystal structure of MoHRh2 at the PBE level of DFT.

```
data_MoHRh2
_chemical_formula_sum 'Mo4 H4 Rh8'
_cell_length_a 4.861
_cell_length_b 4.473
_cell_length_c 8.442
_cell_angle_alpha 90.00
_cell_angle_beta 90.00
_cell_angle_gamma 90.00
_symmetry_space_group_name_H-M 'P n n a'
_symmetry_Int_Tables_number 52
loop_
_symmetry_equiv_pos_as_xyz
'x,y,z'
'-x,-y,-z'
'-x+1/2,-y,z'
'x+1/2,y,-z'
'x,-y+1/2,-z+1/2'
'-x,y+1/2,z+1/2'
'-x+1/2,y+1/2,-z+1/2'
'x+1/2,-y+1/2,z+1/2'
loop_
_atom_site_label
_atom_site_fract_x
_atom_site_fract_y
_atom_site_fract_z
_atom_site_occupancy
Mo1 0.066 0.250 0.250 1
H1 0.250 0.000 0.082 1
Rh1 0.081 0.245 0.586 1
```

Density of states at the Fermi level   0.73 states/eV per atom
Energy   -7.378 eV/atom
Spin magnetization   0.00 μB/cell


Entry 5:
Computed, not measured: an optimized crystal structure of Tb2EuHo at the PBE level of DFT.

```
data_Tb2EuHo
_chemical_formula_sum 'Tb2 Eu1 Ho1'
_cell_length_a 3.603
_cell_length_b 3.603
_cell_length_c 10.326
_cell_angle_alpha 90.00
_cell_angle_beta 90.00
_cell_angle_gamma 90.00
_symmetry_space_group_name_H-M 'P 4/m m m'
_symmetry_Int_Tables_number 123
_symmetry_space_group_name_Hall '-P 4 2'
loop_
_atom_site_label
_atom_site_fract_x
_atom_site_fract_y
_atom_site_fract_z
_atom_site_occupancy
Tb1 0.000 0.000 0.234 1
Eu1 0.500 0.500 0.500 1
Ho1 0.500 0.500 0.000 1
```

Energy relative to the elements   0.054 eV/atom
Density of states at the Fermi level   1.22 states/eV per atom
Energy   -5.975 eV/atom
Spin magnetization   7.39 μB/cell


Entry 6:
Computed, not measured: an optimized crystal structure of ZrReAg2 at the PBE level of DFT.

```
data_ZrReAg2
_chemical_formula_sum 'Zr1 Re1 Ag2'
_cell_length_a 2.762
_cell_length_b 4.586
_cell_length_c 5.573
_cell_angle_alpha 90.00
_cell_angle_beta 90.00
_cell_angle_gamma 90.00
_symmetry_space_group_name_H-M 'P m m m'
_symmetry_Int_Tables_number 47
loop_
_symmetry_equiv_pos_as_xyz
'x,y,z'
'-x,-y,-z'
'-x,-y,z'
'x,y,-z'
'x,-y,-z'
'-x,y,z'
'-x,y,-z'
'x,-y,z'
loop_
_atom_site_label
_atom_site_fract_x
_atom_site_fract_y
_atom_site_fract_z
_atom_site_occupancy
Zr1 0.000 0.000 0.000 1
Re1 0.000 0.000 0.500 1
Ag1 0.500 0.500 0.259 1
```

Energy relative to the elements   0.357 eV/atom
Density of states at the Fermi level   1.04 states/eV per atom
Energy   -6.318 eV/atom
Spin magnetization   0.00 μB/cell


Entry 7:
Computed, not measured: an optimized crystal structure of Th5Nb at the PBE level of DFT.

```
data_Th5Nb
_chemical_formula_sum 'Th10 Nb2'
_cell_length_a 4.978
_cell_length_b 14.571
_cell_length_c 4.879
_cell_angle_alpha 90.00
_cell_angle_beta 90.00
_cell_angle_gamma 90.00
_symmetry_space_group_name_H-M 'C m m m'
_symmetry_Int_Tables_number 65
_symmetry_space_group_name_Hall '-C 2 2'
loop_
_atom_site_label
_atom_site_fract_x
_atom_site_fract_y
_atom_site_fract_z
_atom_site_occupancy
Th1 0.000 0.000 0.000 1
Th2 0.000 0.164 0.500 1
Th3 0.000 0.341 0.000 1
Nb1 0.000 0.500 0.500 1
```

Energy relative to the elements   0.180 eV/atom
Density of states at the Fermi level   1.36 states/eV per atom
Energy   -7.681 eV/atom
Spin magnetization   0.00 μB/cell


Entry 8:
Computed, not measured: an optimized crystal structure of CaTcBi2C at the PBE level of DFT.

```
data_CaTcBi2C
_chemical_formula_sum 'Ca1 Tc1 Bi2 C1'
_cell_length_a 4.945
_cell_length_b 4.945
_cell_length_c 4.662
_cell_angle_alpha 90.00
_cell_angle_beta 90.00
_cell_angle_gamma 90.00
_symmetry_space_group_name_H-M 'P 4/m m m'
_symmetry_Int_Tables_number 123
_symmetry_space_group_name_Hall '-P 4 2'
loop_
_atom_site_label
_atom_site_fract_x
_atom_site_fract_y
_atom_site_fract_z
_atom_site_occupancy
Ca1 0.000 0.000 0.000 1
Tc1 0.500 0.500 0.000 1
Bi1 0.000 0.500 0.500 1
C1 0.000 0.000 0.500 1
```

Energy relative to the elements   1.014 eV/atom
Density of states at the Fermi level   0.77 states/eV per atom
Energy   -4.857 eV/atom
Spin magnetization   2.38 μB/cell


Entry 9:
Computed, not measured: an optimized crystal structure of SrSi2Ag at the PBE level of DFT.

```
data_SrSi2Ag
_chemical_formula_sum 'Sr2 Si4 Ag2'
_cell_length_a 8.686
_cell_length_b 3.870
_cell_length_c 5.917
_cell_angle_alpha 90.00
_cell_angle_beta 111.63
_cell_angle_gamma 90.00
_symmetry_space_group_name_H-M 'C 1 m 1'
_symmetry_Int_Tables_number 8
loop_
_symmetry_equiv_pos_as_xyz
'x,y,z'
'x,-y,z'
'x+1/2,y+1/2,z'
'x+1/2,-y+1/2,z'
loop_
_atom_site_label
_atom_site_fract_x
_atom_site_fract_y
_atom_site_fract_z
_atom_site_occupancy
Sr1 0.000 0.000 0.000 1
Si1 0.023 0.500 0.493 1
Si2 0.208 0.000 0.648 1
Ag1 0.296 0.500 0.387 1
```

Density of states at the Fermi level   0.50 states/eV per atom
Energy   -3.889 eV/atom
Uncorrected formation energy   -0.044 eV/atom
Spin magnetization   0.00 μB/cell


Entry 10:
Computed, not measured: an optimized crystal structure of Ca3SbPt at the PBE level of DFT.

```
data_Ca3SbPt
_chemical_formula_sum 'Ca3 Sb1 Pt1'
_cell_length_a 5.443
_cell_length_b 5.443
_cell_length_c 5.443
_cell_angle_alpha 90.00
_cell_angle_beta 90.00
_cell_angle_gamma 90.00
_symmetry_space_group_name_H-M 'P m -3 m'
_symmetry_Int_Tables_number 221
_symmetry_space_group_name_Hall '-P 4 2 3'
loop_
_atom_site_label
_atom_site_fract_x
_atom_site_fract_y
_atom_site_fract_z
_atom_site_occupancy
Ca1 0.000 0.000 0.500 1
Sb1 0.500 0.500 0.500 1
Pt1 0.000 0.000 0.000 1
```

Density of states at the Fermi level   0.76 states/eV per atom
Energy   -3.920 eV/atom
Uncorrected formation energy   -0.686 eV/atom
Spin magnetization   0.00 μB/cell


Entry 11:
Computed, not measured: an optimized crystal structure of Sr2LiInAg6 at the PBE level of DFT.

```
data_Sr2LiInAg6
_chemical_formula_sum 'Sr4 Li2 In2 Ag12'
_cell_length_a 10.012
_cell_length_b 10.165
_cell_length_c 6.806
_cell_angle_alpha 90.00
_cell_angle_beta 132.55
_cell_angle_gamma 90.00
_symmetry_space_group_name_H-M 'C 1 2/m 1'
_symmetry_Int_Tables_number 12
loop_
_symmetry_equiv_pos_as_xyz
'x,y,z'
'-x,-y,-z'
'-x,y,-z'
'x,-y,z'
'x+1/2,y+1/2,z'
'-x+1/2,-y+1/2,-z'
'-x+1/2,y+1/2,-z'
'x+1/2,-y+1/2,z'
loop_
_atom_site_label
_atom_site_fract_x
_atom_site_fract_y
_atom_site_fract_z
_atom_site_occupancy
Sr1 0.000 0.214 0.000 1
Li1 0.000 0.500 0.500 1
In1 0.000 0.000 0.500 1
Ag1 0.000 0.268 0.500 1
Ag2 0.190 0.500 0.403 1
Ag3 0.191 0.500 0.976 1
```

Energy relative to the elements   -0.059 eV/atom
Density of states at the Fermi level   0.43 states/eV per atom
Energy   -2.572 eV/atom
Spin magnetization   0.00 μB/cell


Entry 12:
Computed, not measured: an optimized crystal structure of DyBe2Pd2Au at the PBE level of DFT.

```
data_DyBe2Pd2Au
_chemical_formula_sum 'Dy1 Be2 Pd2 Au1'
_cell_length_a 4.280
_cell_length_b 4.280
_cell_length_c 5.597
_cell_angle_alpha 90.00
_cell_angle_beta 90.00
_cell_angle_gamma 90.00
_symmetry_space_group_name_H-M 'P 4/m m m'
_symmetry_Int_Tables_number 123
_symmetry_space_group_name_Hall '-P 4 2'
loop_
_atom_site_label
_atom_site_fract_x
_atom_site_fract_y
_atom_site_fract_z
_atom_site_occupancy
Dy1 0.000 0.000 0.000 1
Be1 0.000 0.500 0.500 1
Pd1 0.500 0.500 0.250 1
Au1 0.000 0.000 0.500 1
```

Energy relative to the elements   -0.306 eV/atom
Density of states at the Fermi level   0.50 states/eV per atom
Energy   -4.593 eV/atom
Spin magnetization   0.00 μB/cell


Entry 13:
Computed, not measured: an optimized crystal structure of Rb3Er3NpS8 at the PBE level of DFT.

```
data_Rb3Er3NpS8
_chemical_formula_sum 'Rb9 Er9 Np3 S24'
_cell_length_a 8.0322
_cell_length_b 8.0322
_cell_length_c 23.4331
_cell_angle_alpha 90.00
_cell_angle_beta 90.00
_cell_angle_gamma 120.00
_symmetry_space_group_name_H-M 'R -3 m'
_symmetry_Int_Tables_number 166
_symmetry_space_group_name_Hall '-R 3 2"'
loop_
_atom_site_label
_atom_site_fract_x
_atom_site_fract_y
_atom_site_fract_z
_atom_site_occupancy
Rb1 0.0000 0.5000 0.0000 1
Er1 0.0000 0.5000 0.5000 1
Np1 0.0000 0.0000 0.5000 1
S1 0.0000 0.0000 0.2294 1
S2 0.0031 0.5016 0.2285 1
```

Density of states at the Fermi level   0.28 states/eV per atom
Energy   -5.921 eV/atom
Uncorrected formation energy   -1.750 eV/atom
Spin magnetization   9.00 μB/cell


Entry 14:
Computed, not measured: an optimized crystal structure of Lu2Te3 at the PBE level of DFT.

```
data_Lu2Te3
_chemical_formula_sum 'Lu12 Te18'
_cell_length_a 7.4468
_cell_length_b 7.4468
_cell_length_c 21.3705
_cell_angle_alpha 90.00
_cell_angle_beta 90.00
_cell_angle_gamma 120.00
_symmetry_space_group_name_H-M 'R -3'
_symmetry_Int_Tables_number 148
_symmetry_space_group_name_Hall '-R 3'
loop_
_atom_site_label
_atom_site_fract_x
_atom_site_fract_y
_atom_site_fract_z
_atom_site_occupancy
Lu1 0.0000 0.0000 0.0000 1
Lu2 0.0000 0.0000 0.1743 1
Lu3 0.0000 0.0000 0.5000 1
Te1 0.0046 0.3460 0.7514 1
```

Density of states at the Fermi level   0.00 states/eV per atom
Energy   -5.031 eV/atom
Uncorrected formation energy   -1.338 eV/atom
Spin magnetization   0.00 μB/cell